Material: InSn2S4
Method: DFT, PBE
State: relaxed

Computed properties:
Total moment in μB per formula unit: 0.0
Formation energy from raw total energies in eV per atom: -0.344
E above lowest polymorph in meV per atom: 92.2

Cell and atoms, written as CIF:
```
data_InSn2S4
_chemical_formula_sum 'In2 Sn4 S8'
_space_group_name_H-M_alt 'P 1'
_space_group_IT_number 1
_cell_length_a 6.640
_cell_length_b 6.640
_cell_length_c 13.523
_cell_angle_alpha 90.00
_cell_angle_beta 90.00
_cell_angle_gamma 146.91
loop_
_space_group_symop_operation_xyz
'x,y,z'
loop_
_atom_site_label
_atom_site_type_symbol
_atom_site_fract_x
_atom_site_fract_y
_atom_site_fract_z
In1 In 0.118 0.882 0.750
In2 In 0.882 0.118 0.250
Sn1 Sn 0.368 0.632 0.569
Sn2 Sn 0.368 0.632 0.931
Sn3 Sn 0.632 0.368 0.069
Sn4 Sn 0.632 0.368 0.431
S1 S 0.000 0.000 0.000
S2 S 0.000 0.000 0.500
S3 S 0.272 0.728 0.124
S4 S 0.272 0.728 0.376
S5 S 0.473 0.527 0.750
S6 S 0.527 0.473 0.250
S7 S 0.728 0.272 0.624
S8 S 0.728 0.272 0.876
```